Density functional theory data (PBE) for AcTbPm2Nd6 after structural relaxation.

Results
The space-group type is C2/c.

Lattice parameters (Å, degrees): 9.8688 9.1399 9.1399 118.19 93.20 93.20
Last column: nearest neighbours and their distance in Å.
Atoms (fractional coordinates):
Nd  0.1869  0.5622  0.0155  5 Nd 3.35-3.75, 2 Pm 3.51-3.67, 1 Tb 3.57
Nd  0.9454  0.8726  0.2508  7 Nd 3.52-3.91, 1 Pm 3.64, 1 Ac 3.87
Nd  0.3825  0.5024  0.2910  4 Nd 3.35-3.64, 3 Pm 3.35-3.53, 2 Tb 3.51-3.66
Tb  0.2500  0.4105  0.5895  6 Nd 3.51-3.66, 2 Pm 3.69
Nd  0.0546  0.1274  0.7492  7 Nd 3.52-3.91, 1 Pm 3.64, 1 Ac 3.87
Pm  0.9546  0.6877  0.8011  6 Nd 3.35-3.67, 2 Ac 3.53-3.61, 1 Tb 3.69
Ac  0.7500  0.0238  0.9762  4 Pm 3.53-3.61, 4 Nd 3.76-3.87
Pm  0.4546  0.8011  0.6877  6 Nd 3.35-3.67, 2 Ac 3.53-3.61, 1 Tb 3.69
Nd  0.5546  0.7492  0.1274  7 Nd 3.52-3.91, 1 Pm 3.64, 1 Ac 3.87
Nd  0.3131  0.9845  0.4378  5 Nd 3.35-3.75, 2 Pm 3.51-3.67, 1 Tb 3.57
Tb  0.7500  0.5895  0.4105  6 Nd 3.51-3.66, 2 Pm 3.69
Nd  0.8131  0.4378  0.9845  5 Nd 3.35-3.75, 2 Pm 3.51-3.67, 1 Tb 3.57
Nd  0.6869  0.0155  0.5622  5 Nd 3.35-3.75, 2 Pm 3.51-3.67, 1 Tb 3.57
Nd  0.8825  0.2910  0.5024  4 Nd 3.35-3.64, 3 Pm 3.35-3.53, 2 Tb 3.51-3.66
Nd  0.4454  0.2508  0.8726  7 Nd 3.52-3.91, 1 Pm 3.64, 1 Ac 3.87
Nd  0.1175  0.7090  0.4976  4 Nd 3.35-3.64, 3 Pm 3.35-3.53, 2 Tb 3.51-3.66
Pm  0.0454  0.3123  0.1989  6 Nd 3.35-3.67, 2 Ac 3.53-3.61, 1 Tb 3.69
Ac  0.2500  0.9762  0.0238  4 Pm 3.53-3.61, 4 Nd 3.76-3.87
Pm  0.5454  0.1989  0.3123  6 Nd 3.35-3.67, 2 Ac 3.53-3.61, 1 Tb 3.69
Nd  0.6175  0.4976  0.7090  4 Nd 3.35-3.64, 3 Pm 3.35-3.53, 2 Tb 3.51-3.66

=====

Density functional theory data (PBE) for ZnIBrO2 after structural relaxation.

Results
The calculation puts the energy above the lowest structure with this stoichiometry at 0.00 kJ per mole of atoms. The raw formation energy comes out at 161 meV per atom. The space-group type is P4/mmm.

Lattice parameters (Å, degrees): 4.0283 4.0283 6.9184 90.00 90.00 90.00
Last column: nearest neighbours and their distance in Å.
Atoms (fractional coordinates):
I  0.0000  0.0000  0.5000  4 Br 2.85
Br  0.5000  0.5000  0.5000  4 I 2.85
Zn  0.0000  0.0000  0.0000  4 O 2.01
O  0.0000  0.5000  0.0000  2 Zn 2.01
O  0.5000  0.0000  0.0000  2 Zn 2.01

=====

| no. | uncorrected energy (eV per atom) | magnetic moment (μB per formula unit) | density of states at the Fermi level (states/eV/f.u.) |
| --- | --- | --- | --- |
| 1 | -4.57 | 0.00 | 14.680 |
| 2 | -2.72 | 1.69 | 5.551 |